Version i
A relaxed structure of Tl3PtI, computed with PBE.

POSCAR file:
```
Tl3PtI
1.0
4.2009 0.0000 0.0000
0.0000 3.3328 8.6018
0.0000 -3.3328 8.6018
Tl Pt I
3 1 1
Cartesian
0.0000 0.0000 0.0000
2.1005 -1.5430 5.5224
2.1005 1.5430 5.5224
0.0000 0.0000 14.4430
2.1005 0.0000 2.4844
```


Version ii
A relaxed structure of Tl3PtI, computed with PBE.

POSCAR file:
```
Tl3PtI
1.0
-2.9928 7.7810 3.4665
2.9928 -7.7810 3.4665
2.9928 7.7810 -3.4665
Tl Pt I
6 2 2
Cartesian
2.9928 3.8905 -0.6888
0.0000 1.7685 0.3743
0.0000 6.0126 0.3743
2.9928 1.7685 3.0922
2.9928 6.0126 3.0922
0.0000 3.8905 4.1553
-1.4964 3.8905 1.7332
1.4964 3.8905 1.7332
2.9928 0.0000 0.0000
0.0000 0.0000 3.4665
```


version ii (0.145 eV/atom below the next structure)


Version i
A relaxed structure of V2PtI, computed with PBE.

POSCAR file:
```
V2PtI
1.0
-3.4907 3.4907 3.4737
3.4907 -3.4907 3.4737
3.4907 3.4907 -3.4737
V Pt I
4 2 2
Cartesian
5.2360 1.5301 -0.8684
1.5301 1.7453 0.8684
-1.7453 1.9606 2.6053
1.9606 1.7453 4.3421
0.0000 0.0000 0.0000
0.0000 3.4907 1.7368
3.4907 0.0000 1.7368
0.0000 0.0000 3.4737
```


Version ii
A relaxed structure of V2PtI, computed with PBE.

POSCAR file:
```
V2PtI
1.0
0.0000 3.1966 3.1966
3.1966 0.0000 3.1966
3.1966 3.1966 0.0000
V Pt I
2 1 1
Cartesian
1.5983 1.5983 1.5983
4.7950 4.7950 4.7950
0.0000 0.0000 0.0000
3.1966 3.1966 3.1966
```


version ii (0.166 eV/atom below the next structure)


Version i
A relaxed structure of Pt3WI, computed with PBE.

POSCAR file:
```
Pt3WI
1.0
4.9264 0.0000 0.0000
0.0000 4.9264 0.0000
0.0000 0.0000 4.9264
Pt W I
3 1 1
Cartesian
0.0000 0.0000 2.4632
0.0000 2.4632 0.0000
2.4632 0.0000 0.0000
0.0000 0.0000 0.0000
2.4632 2.4632 2.4632
```


Version ii
A relaxed structure of Pt3WI, computed with PBE.

POSCAR file:
```
Pt3WI
1.0
4.9148 0.0000 0.0000
0.0000 4.9148 0.0000
0.0000 0.0000 4.9148
Pt W I
3 1 1
Cartesian
0.0000 0.0000 2.4574
0.0000 2.4574 0.0000
2.4574 0.0000 0.0000
2.4574 2.4574 2.4574
0.0000 0.0000 0.0000
```


version i (0.705 eV/atom below the next structure)


Version i
A relaxed structure of PtWI2, computed with PBE.

POSCAR file:
```
PtWI2
1.0
0.0000 3.4560 3.4560
3.4560 0.0000 3.4560
3.4560 3.4560 0.0000
Pt W I
1 1 2
Cartesian
0.0000 0.0000 0.0000
3.4560 3.4560 3.4560
1.7280 1.7280 1.7280
5.1840 5.1840 5.1840
```


Version ii
A relaxed structure of PtWI2, computed with PBE.

POSCAR file:
```
PtWI2
1.0
-3.0205 3.0205 6.2583
3.0205 -3.0205 6.2583
3.0205 3.0205 -6.2583
Pt W I
2 2 4
Cartesian
0.0000 0.0000 0.0000
0.0000 3.0205 3.1292
3.0205 0.0000 3.1292
0.0000 0.0000 6.2583
1.5103 -1.4715 4.6937
1.5491 1.5103 1.5646
1.5103 4.4920 -1.5646
1.4715 1.5103 7.8229
```


version ii (0.058 eV/atom below the next structure)


Version i
A relaxed structure of Y2PtI, computed with PBE.

POSCAR file:
```
Y2PtI
1.0
2.0833 1.2028 7.9504
-2.0833 1.2028 7.9504
0.0000 -2.4056 7.9504
Y Pt I
2 1 1
Cartesian
0.0000 0.0000 0.0000
0.0000 0.0000 5.0569
0.0000 0.0000 14.4596
0.0000 0.0000 18.4967
```


Version ii
A relaxed structure of Y2PtI, computed with PBE.

POSCAR file:
```
Y2PtI
1.0
2.0759 1.1985 7.8851
-2.0759 1.1985 7.8851
0.0000 -2.3970 7.8851
Y Pt I
2 1 1
Cartesian
0.0000 0.0000 5.4121
0.0000 0.0000 18.2433
0.0000 0.0000 11.8277
0.0000 0.0000 0.0000
```


version ii (0.020 eV/atom below the next structure)


Version i
A relaxed structure of Y2PtI, computed with PBE.

POSCAR file:
```
Y2PtI
1.0
0.0000 3.6798 3.6798
3.6798 0.0000 3.6798
3.6798 3.6798 0.0000
Y Pt I
2 1 1
Cartesian
1.8399 1.8399 1.8399
5.5198 5.5198 5.5198
0.0000 0.0000 0.0000
3.6798 3.6798 3.6798
```


Version ii
A relaxed structure of Y2PtI, computed with PBE.

POSCAR file:
```
Y2PtI
1.0
3.6431 -2.1036 0.0000
3.6431 2.1036 0.0000
-0.0285 0.0000 8.3315
Y Pt I
2 1 1
Cartesian
0.0000 0.0000 0.0000
4.8577 0.0000 2.8619
2.4292 0.0000 1.4925
4.8303 0.0000 6.0451
```


Version iii
A relaxed structure of Y2PtI, computed with PBE.

POSCAR file:
```
Y2PtI
1.0
-3.9251 3.9251 3.8605
3.9251 -3.9251 3.8605
3.9251 3.9251 -3.8605
Y Pt I
4 2 2
Cartesian
1.9626 1.6388 -0.9651
2.2863 -1.9626 4.8256
1.9626 2.2863 2.8954
1.6388 5.8877 0.9651
0.0000 0.0000 0.0000
0.0000 3.9251 1.9302
3.9251 0.0000 1.9302
0.0000 0.0000 3.8605
```


version ii (0.416 eV/atom below the next structure)


Version i
A relaxed structure of YPt2I, computed with PBE.

POSCAR file:
```
YPt2I
1.0
0.0000 3.5074 3.5074
3.5074 0.0000 3.5074
3.5074 3.5074 0.0000
Y Pt I
1 2 1
Cartesian
0.0000 0.0000 0.0000
1.7537 1.7537 1.7537
5.2611 5.2611 5.2611
3.5074 3.5074 3.5074
```


Version ii
A relaxed structure of YPt2I, computed with PBE.

POSCAR file:
```
YPt2I
1.0
-2.9842 2.9842 6.7935
2.9842 -2.9842 6.7935
2.9842 2.9842 -6.7935
Y Pt I
2 4 2
Cartesian
0.0000 0.0000 0.0000
0.0000 2.9842 3.3968
1.4921 -1.3774 5.0951
1.6068 1.4921 1.6984
1.4921 4.3617 -1.6984
1.3774 1.4921 8.4919
2.9842 0.0000 3.3968
0.0000 0.0000 6.7935
```


version i (0.211 eV/atom below the next structure)


Version i
A relaxed structure of YPtI3, computed with PBE.

POSCAR file:
```
YPtI3
1.0
5.4645 0.0000 0.0000
0.0000 5.4645 0.0000
0.0000 0.0000 5.4645
Y Pt I
1 1 3
Cartesian
0.0000 0.0000 0.0000
2.7322 2.7322 2.7322
0.0000 2.7322 2.7322
2.7322 0.0000 2.7322
2.7322 2.7322 0.0000
```


Version ii
A relaxed structure of YPtI3, computed with PBE.

POSCAR file:
```
YPtI3
1.0
5.9888 0.0000 0.0000
0.0000 5.9888 0.0000
0.0000 0.0000 5.9888
Y Pt I
1 1 3
Cartesian
0.0000 0.0000 0.0000
2.9944 2.9944 2.9944
0.0000 0.0000 2.9944
0.0000 2.9944 0.0000
2.9944 0.0000 0.0000
```


version i (0.093 eV/atom below the next structure)


Version i
A relaxed structure of YPt2I2, computed with PBE.

POSCAR file:
```
YPt2I2
1.0
-2.2959 2.2959 6.0727
2.2959 -2.2959 6.0727
2.2959 2.2959 -6.0727
Y Pt I
1 2 2
Cartesian
0.0000 0.0000 0.0000
0.0000 0.0000 4.7894
0.0000 0.0000 7.3561
2.2959 0.0000 3.0364
0.0000 2.2959 3.0364
```


Version ii
A relaxed structure of YPt2I2, computed with PBE.

POSCAR file:
```
YPt2I2
1.0
7.4095 0.0000 0.0000
0.0000 7.4095 0.0000
0.0000 0.0000 4.4737
Y Pt I
2 4 4
Cartesian
0.0000 0.0000 0.0000
3.7047 3.7047 0.0000
0.9324 2.7723 0.0000
2.7723 6.4770 0.0000
4.6372 0.9324 0.0000
6.4770 4.6372 0.0000
1.5399 5.2446 2.2368
2.1649 1.5399 2.2368
5.2446 5.8696 2.2368
5.8696 2.1649 2.2368
```


version ii (0.358 eV/atom below the next structure)


Version i
A relaxed structure of YPt3I, computed with PBE.

POSCAR file:
```
YPt3I
1.0
4.9935 0.0000 0.0000
0.0000 4.9935 0.0000
0.0000 0.0000 4.9935
Y Pt I
1 3 1
Cartesian
0.0000 0.0000 0.0000
0.0000 2.4968 2.4968
2.4968 0.0000 2.4968
2.4968 2.4968 0.0000
2.4968 2.4968 2.4968
```


Version ii
A relaxed structure of YPt3I, computed with PBE.

POSCAR file:
```
YPt3I
1.0
5.1868 0.0000 0.0000
0.0000 5.1868 0.0000
0.0000 0.0000 5.1868
Y Pt I
1 3 1
Cartesian
0.0000 0.0000 0.0000
0.0000 0.0000 2.5934
0.0000 2.5934 0.0000
2.5934 0.0000 0.0000
2.5934 2.5934 2.5934
```


version i (0.484 eV/atom below the next structure)


Version i
A relaxed structure of ZnPtI2, computed with PBE.

POSCAR file:
```
ZnPtI2
1.0
-3.1158 3.1158 6.2939
3.1158 -3.1158 6.2939
3.1158 3.1158 -6.2939
Zn Pt I
2 2 4
Cartesian
0.0000 0.0000 0.0000
0.0000 3.1158 3.1469
3.1158 0.0000 3.1469
0.0000 0.0000 6.2939
1.5579 -1.5193 4.7204
1.5965 1.5579 1.5735
1.5579 4.6351 -1.5735
1.5193 1.5579 7.8674
```


Version ii
A relaxed structure of ZnPtI2, computed with PBE.

POSCAR file:
```
ZnPtI2
1.0
0.0000 3.6358 3.6358
3.6358 0.0000 3.6358
3.6358 3.6358 0.0000
Zn Pt I
1 1 2
Cartesian
0.0000 0.0000 0.0000
3.6358 3.6358 3.6358
1.8179 1.8179 1.8179
5.4537 5.4537 5.4537
```


version i (0.495 eV/atom below the next structure)


Version i
A relaxed structure of ZrPt2I, computed with PBE.

POSCAR file:
```
ZrPt2I
1.0
0.0000 3.4323 3.4323
3.4323 0.0000 3.4323
3.4323 3.4323 0.0000
Zr Pt I
1 2 1
Cartesian
0.0000 0.0000 0.0000
1.7162 1.7162 1.7162
5.1485 5.1485 5.1485
3.4323 3.4323 3.4323
```


Version ii
A relaxed structure of ZrPt2I, computed with PBE.

POSCAR file:
```
ZrPt2I
1.0
-3.4409 3.4409 4.5224
3.4409 -3.4409 4.5224
3.4409 3.4409 -4.5224
Zr Pt I
2 4 2
Cartesian
0.0000 0.0000 0.0000
0.0000 3.4409 2.2612
1.7204 1.5912 -1.1306
1.8497 -1.7204 5.6530
1.7204 1.8497 3.3918
1.5912 5.1613 1.1306
3.4409 0.0000 2.2612
0.0000 0.0000 4.5224
```


version i (0.064 eV/atom below the next structure)


Version i
A relaxed structure of Zr2PtI2, computed with PBE.

POSCAR file:
```
Zr2PtI2
1.0
8.2196 0.0000 0.0000
0.0000 8.2196 0.0000
0.0000 0.0000 3.4021
Zr Pt I
4 2 4
Cartesian
1.3108 2.7990 0.0000
2.7990 6.9089 0.0000
5.4206 1.3108 0.0000
6.9089 5.4206 0.0000
0.0000 0.0000 1.7011
4.1098 4.1098 1.7011
1.1575 5.2673 1.7011
2.9523 1.1575 1.7011
5.2673 7.0621 1.7011
7.0621 2.9523 1.7011
```


Version ii
A relaxed structure of Zr2PtI2, computed with PBE.

POSCAR file:
```
Zr2PtI2
1.0
-2.5119 2.5119 5.4177
2.5119 -2.5119 5.4177
2.5119 2.5119 -5.4177
Zr Pt I
2 1 2
Cartesian
2.5119 0.0000 2.7089
0.0000 2.5119 2.7089
0.0000 0.0000 0.0000
0.0000 0.0000 3.9085
0.0000 0.0000 6.9270
```


version i (0.175 eV/atom below the next structure)